# 1
VASP calculation (GGA-PBE) on crystalline ErGa2Pt6 at its relaxed geometry.

abc: 3.810 6.718 6.718
angles: 115.24 90.00 90.00
Fractional positions:
Er (0.000, 0.000, 0.000)
Ga (0.500, 0.165, 0.421)
Ga (0.500, 0.421, 0.165)
Pt (0.000, 0.418, 0.418)
Pt (0.000, 0.472, 0.858)
Pt (0.000, 0.858, 0.472)
Pt (0.500, 0.136, 0.771)
Pt (0.500, 0.703, 0.703)
Pt (0.500, 0.771, 0.136)

Computed properties:
Space group = Amm2, No. 38


# 2
VASP calculation (GGA-PBE) on crystalline Cr5Ni3Ir3 at its relaxed geometry.

abc: 8.211 8.211 2.696
angles: 90.00 90.00 120.00
Fractional positions:
Cr (0.000, 0.664, 0.000)
Cr (0.333, 0.667, 0.000)
Cr (0.336, 0.336, 0.000)
Cr (0.664, 0.000, 0.000)
Cr (0.667, 0.333, 0.000)
Ni (0.000, 0.160, 0.000)
Ni (0.160, 0.000, 0.000)
Ni (0.840, 0.840, 0.000)
Ir (0.000, 0.411, 0.500)
Ir (0.411, 0.000, 0.500)
Ir (0.589, 0.589, 0.500)

Computed properties:
Space group = P-62m, No. 189


no.,VASP energy (eV per atom),energy of formation (eV per formula unit)
1,-5.774,-5.11
2,-7.901,5.13